Material: MnP2HO
Method: DFT, GGA+U
State: relaxed

It has space group P4/mmm (No. 123), with a = 3.279 Å, b = 3.279 Å, c = 6.332 Å, α = 90.00°, β = 90.00° and γ = 90.00°. The inequivalent atoms are Mn at (0.000, 0.000, 0.000), P at (0.000, 0.500, 0.500), H at (0.500, 0.500, 0.500) and O at (0.500, 0.500, 0.000).

The total energy comes out at -5.081 eV per atom. The density of states at the Fermi level is 0.599 states/eV/atom.